[1]
Here is Sr3NpBr2O6 after structural relaxation from the Alexandria database. Energies are from GGA-PBE.

Cell and atoms, written as extended XYZ:
```
12
Lattice="5.765 0.000 0.588 0.000 7.156 0.000 0.046 -3.578 6.450" Properties=species:S:1:pos:R:3 pbc="T T T"
O 3.974 1.589 1.081
O 3.752 3.578 4.952
O 2.059 0.000 2.086
O 3.974 5.567 1.081
O 1.837 1.989 5.957
O 1.837 -1.989 5.957
Sr 2.905 -1.789 3.519
Sr 0.000 3.578 0.000
Sr 2.905 1.789 3.519
Br 5.204 0.000 4.172
Br 0.607 3.578 2.866
Np 2.882 0.000 0.294
```

Formation energy without anion corrections, eV per atom: -2.314
V, A^3/atom: 22.2
Symmetry: C2/m, No. 12
Spin magnetization, μB/f.u.: 1.04
N(E_F), states/eV/f.u.: 4.882
E, eV/atom: -6.57

[2]
Here is NpTcBr2O6 after structural relaxation from the Alexandria database. Energies are from GGA-PBE.

Cell and atoms, written as extended XYZ:
```
10
Lattice="5.691 0.077 0.711 0.020 5.400 1.644 3.484 3.989 8.222" Properties=species:S:1:pos:R:3 pbc="T T T"
Br 2.860 6.887 5.036
Br 6.334 2.579 5.541
O 5.142 5.565 8.756
O 4.053 3.901 1.822
O 7.809 5.568 8.765
O 3.904 4.083 6.474
O 1.385 3.898 1.812
O 5.290 5.383 4.103
Np 0.000 0.000 0.000
Tc 2.855 2.739 1.178
```

Formation energy without anion corrections, eV per atom: -1.463
V, A^3/atom: 20.2
Symmetry: P-1, No. 2
Spin magnetization, μB/f.u.: 0.06
N(E_F), states/eV/f.u.: 1.367
E, eV/atom: -7.10

[3]
Here is NpTeBrO6 after structural relaxation from the Alexandria database. Energies are from GGA-PBE.

Cell and atoms, written as extended XYZ:
```
18
Lattice="7.249 0.000 0.000 0.000 7.956 0.000 -3.625 -3.978 5.430" Properties=species:S:1:pos:R:3 pbc="T T T"
O 2.236 4.580 1.401
O 3.625 -1.989 3.461
O 3.625 1.989 0.577
O 1.388 4.580 4.029
O -1.388 -0.602 4.029
O 5.013 -0.602 1.401
O 1.388 -0.602 4.029
O 2.236 -0.602 1.401
O 0.000 1.989 4.853
O -1.388 4.580 4.029
O 0.000 5.967 1.969
O 5.013 4.580 1.401
Te 1.812 -1.989 2.715
Te -1.812 -1.989 2.715
Np 3.625 3.978 0.000
Np 3.625 0.000 0.000
Br 3.625 1.989 3.618
Br 0.000 1.989 1.811
```

Formation energy without anion corrections, eV per atom: -1.420
V, A^3/atom: 17.4
Symmetry: Imma, No. 74
Spin magnetization, μB/f.u.: 1.73
N(E_F), states/eV/f.u.: 8.708
E, eV/atom: -6.70

[4]
Here is Y3NpBr2O6 after structural relaxation from the Alexandria database. Energies are from GGA-PBE.

Cell and atoms, written as extended XYZ:
```
12
Lattice="-4.265 2.450 2.926 -3.482 0.804 -5.748 -1.823 -5.054 4.382" Properties=species:S:1:pos:R:3 pbc="T T T"
Y -1.741 0.402 -2.874
Y -4.785 -0.900 0.780
Y -3.044 -1.302 3.654
O -3.502 -3.546 3.624
O -6.068 1.746 -2.064
O -2.724 -0.778 1.541
O -6.846 -1.021 0.019
O -5.249 -3.142 0.740
O -4.321 1.343 0.820
Br -3.830 -1.183 -1.830
Br -5.740 -0.616 3.390
Np -2.133 1.225 1.463
```

Formation energy without anion corrections, eV per atom: -2.732
V, A^3/atom: 19.0
Symmetry: C2/m, No. 12
Spin magnetization, μB/f.u.: 2.00
N(E_F), states/eV/f.u.: 6.474
E, eV/atom: -8.18

[5]
Here is NpZn3Br2O6 after structural relaxation from the Alexandria database. Energies are from GGA-PBE.

Cell and atoms, written as extended XYZ:
```
12
Lattice="-0.868 3.688 3.796 -2.153 -4.146 3.536 7.377 0.745 0.511" Properties=species:S:1:pos:R:3 pbc="T T T"
Np -0.434 1.844 1.898
Zn 2.178 0.144 3.922
Zn 3.255 2.217 2.154
Zn -1.076 -2.073 1.768
O -2.018 -0.485 5.619
O 5.238 -1.416 4.092
O 2.628 -0.877 5.425
O -0.881 1.704 3.752
O 1.729 1.165 2.419
O 6.375 0.773 2.224
Br 3.171 2.487 4.847
Br 1.186 -2.200 2.997
```

Formation energy without anion corrections, eV per atom: -1.426
V, A^3/atom: 17.9
Symmetry: C2/m, No. 12
Spin magnetization, μB/f.u.: 0.03
N(E_F), states/eV/f.u.: 11.070
E, eV/atom: -5.58

[6]
Here is NpPaBr after structural relaxation from the Alexandria database. Energies are from GGA-PBE.

Cell and atoms, written as extended XYZ:
```
6
Lattice="3.524 0.000 0.000 0.000 3.552 0.000 0.000 0.000 12.857" Properties=species:S:1:pos:R:3 pbc="T T T"
Np 1.762 1.776 5.926
Np 0.000 0.000 6.932
Br 0.000 0.000 11.104
Br 1.762 1.776 1.753
Pa 0.000 1.776 4.016
Pa 1.762 0.000 8.841
```

Formation energy without anion corrections, eV per atom: -0.299
V, A^3/atom: 26.8
Symmetry: Pmmn, No. 59
Spin magnetization, μB/f.u.: 0.00
N(E_F), states/eV/f.u.: 3.487
E, eV/atom: -8.34

[7]
Here is NpPaBr6 after structural relaxation from the Alexandria database. Energies are from GGA-PBE.

Cell and atoms, written as extended XYZ:
```
8
Lattice="-2.741 -3.492 -5.979 -0.832 -2.696 6.892 -4.812 5.326 0.384" Properties=species:S:1:pos:R:3 pbc="T T T"
Br -3.916 -3.282 0.784
Br -4.470 2.420 0.513
Br -5.963 -0.487 2.921
Br -1.843 -0.134 2.288
Br -6.543 -0.728 -0.991
Br -2.423 -0.375 -1.624
Pa -4.193 -0.431 0.648
Np 0.000 0.000 0.000
```

Formation energy without anion corrections, eV per atom: -1.298
V, A^3/atom: 40.3
Symmetry: C2/m, No. 12
Spin magnetization, μB/f.u.: 6.00
N(E_F), states/eV/f.u.: 13.261
E, eV/atom: -5.36

[8]
Here is Np2PbBr8 after structural relaxation from the Alexandria database. Energies are from GGA-PBE.

Cell and atoms, written as extended XYZ:
```
11
Lattice="4.068 0.000 -0.864 0.072 8.291 0.337 0.358 0.977 11.693" Properties=species:S:1:pos:R:3 pbc="T T T"
Pb 2.034 0.000 -0.432
Br 3.304 6.054 5.549
Br 1.866 5.269 8.785
Br 1.758 1.311 8.274
Br 2.631 4.000 2.381
Br 2.740 7.957 2.891
Br 4.341 3.132 10.428
Br 1.193 3.215 5.617
Br 0.157 6.136 0.738
Np 0.809 5.741 3.807
Np 3.689 3.527 7.359
```

Formation energy without anion corrections, eV per atom: -1.194
V, A^3/atom: 36.0
Symmetry: C2/m, No. 12
Spin magnetization, μB/f.u.: 8.00
N(E_F), states/eV/f.u.: 9.632
E, eV/atom: -5.10

[9]
Here is NpPbBr5 after structural relaxation from the Alexandria database. Energies are from GGA-PBE.

Cell and atoms, written as extended XYZ:
```
14
Lattice="4.383 0.000 0.000 0.000 8.341 -0.384 0.000 0.056 13.945" Properties=species:S:1:pos:R:3 pbc="T T T"
Br 1.096 0.647 4.453
Br 1.096 3.233 9.738
Br 1.096 7.092 0.675
Br 3.287 5.165 3.823
Br 1.096 2.994 1.792
Br 3.287 5.404 11.769
Br 3.287 1.306 12.886
Br 1.096 5.693 6.930
Br 3.287 2.704 6.632
Br 3.287 7.751 9.108
Np 1.096 3.497 4.733
Np 3.287 4.901 8.828
Pb 1.096 7.644 11.667
Pb 3.287 0.754 1.894
```

Formation energy without anion corrections, eV per atom: -1.125
V, A^3/atom: 36.4
Symmetry: P2_1/m, No. 11
Spin magnetization, μB/f.u.: 4.00
N(E_F), states/eV/f.u.: 4.608
E, eV/atom: -4.70

[10]
Here is RbNpPbBr6 after structural relaxation from the Alexandria database. Energies are from GGA-PBE.

Cell and atoms, written as extended XYZ:
```
18
Lattice="10.942 0.000 0.000 0.000 10.499 0.000 -5.471 -5.250 7.633" Properties=species:S:1:pos:R:3 pbc="T T T"
Np 2.736 -2.625 3.817
Np -2.736 -2.625 3.817
Br 5.471 2.625 1.469
Br 5.471 -2.625 4.752
Br 7.808 -0.482 1.936
Br 7.808 5.732 1.936
Br 2.337 5.732 5.697
Br 0.000 7.874 2.882
Br 3.134 5.732 1.936
Br -2.337 -0.482 5.697
Br 3.134 -0.482 1.936
Br 0.000 2.625 6.164
Br 2.337 -0.482 5.697
Br -2.337 5.732 5.697
Pb 5.471 5.250 0.000
Pb 5.471 0.000 0.000
Rb 0.000 2.625 2.790
Rb 5.471 2.625 4.843
```

Formation energy without anion corrections, eV per atom: -1.223
V, A^3/atom: 48.7
Symmetry: Imma, No. 74
Spin magnetization, μB/f.u.: 4.00
N(E_F), states/eV/f.u.: 6.804
E, eV/atom: -4.30

[11]
Here is NpTl2PbBr8 after structural relaxation from the Alexandria database. Energies are from GGA-PBE.

Cell and atoms, written as extended XYZ:
```
12
Lattice="-1.951 5.687 4.674 -6.702 -2.524 -0.131 1.826 -5.229 7.118" Properties=species:S:1:pos:R:3 pbc="T T T"
Br -2.821 3.202 5.670
Br -4.999 -2.418 2.110
Br -1.936 1.279 1.438
Br -1.828 0.352 9.551
Br -4.005 -5.268 5.990
Br -4.890 -3.345 10.223
Br -1.360 -1.372 5.053
Br -5.467 -0.694 6.607
Tl -3.864 0.253 4.078
Tl -2.963 -2.320 7.582
Np 0.000 0.000 0.000
Pb 0.913 -2.614 3.559
```

Formation energy without anion corrections, eV per atom: -1.024
V, A^3/atom: 41.0
Symmetry: P2/m, No. 10
Spin magnetization, μB/f.u.: 3.00
N(E_F), states/eV/f.u.: 3.125
E, eV/atom: -3.92

[12]
Here is NpTlPb2Br8 after structural relaxation from the Alexandria database. Energies are from GGA-PBE.

Cell and atoms, written as extended XYZ:
```
12
Lattice="7.253 0.027 -0.005 0.065 6.992 -0.008 0.006 0.011 9.264" Properties=species:S:1:pos:R:3 pbc="T T T"
Br 2.375 1.711 -0.003
Br 6.163 1.754 7.213
Br 4.634 5.143 4.623
Br 2.690 1.887 4.628
Br 4.948 5.320 9.255
Br 6.159 1.747 2.039
Br 1.161 5.276 2.039
Br 1.165 5.283 7.212
Pb 3.660 3.513 2.334
Pb 3.664 3.518 6.917
Tl 0.003 0.006 4.632
Np 0.000 0.000 0.000
```

Formation energy without anion corrections, eV per atom: -1.026
V, A^3/atom: 39.1
Symmetry: P2/m, No. 10
Spin magnetization, μB/f.u.: 4.00
N(E_F), states/eV/f.u.: 4.859
E, eV/atom: -4.04

[13]
Here is NpTlPbBr6 after structural relaxation from the Alexandria database. Energies are from GGA-PBE.

Cell and atoms, written as extended XYZ:
```
18
Lattice="-3.873 4.606 -4.880 0.359 -7.624 -1.331 -11.777 -1.877 7.575" Properties=species:S:1:pos:R:3 pbc="T T T"
Br -5.254 1.583 -4.267
Br -9.666 -3.208 0.863
Br -3.843 -2.080 -2.980
Br -12.295 -6.230 2.181
Br -10.036 -6.478 5.631
Br -5.625 -1.686 0.502
Br -2.996 1.335 -0.817
Br -11.448 -2.815 4.344
Br -7.385 -3.937 4.228
Br -8.476 -7.062 1.757
Br -7.906 -0.958 -2.864
Br -6.814 2.167 -0.393
Np -5.406 0.060 -1.803
Np -9.884 -4.955 3.167
Tl -5.888 -0.938 3.787
Tl 0.000 0.000 0.000
Pb -11.295 -0.878 1.984
Pb -3.996 -4.017 -0.620
```

Formation energy without anion corrections, eV per atom: -1.092
V, A^3/atom: 40.8
Symmetry: P-31c, No. 163
Spin magnetization, μB/f.u.: 4.00
N(E_F), states/eV/f.u.: 9.724
E, eV/atom: -4.32

[14]
Here is NpPdBr6 after structural relaxation from the Alexandria database. Energies are from GGA-PBE.

Cell and atoms, written as extended XYZ:
```
8
Lattice="-0.474 -5.343 4.261 5.396 -4.111 0.952 3.549 0.449 6.466" Properties=species:S:1:pos:R:3 pbc="T T T"
Br 1.950 -4.124 4.403
Br 6.521 -4.882 7.276
Br 3.693 -7.168 6.018
Br 2.846 -4.075 8.145
Br 4.778 -1.837 5.661
Br 5.625 -4.931 3.533
Pd 0.000 0.000 0.000
Np 4.236 -4.503 5.839
```

Formation energy without anion corrections, eV per atom: -0.793
V, A^3/atom: 31.7
Symmetry: R-3, No. 148
Relative energy among the computed polymorphs, kJ per mole of atoms: 6.7
Spin magnetization, μB/f.u.: 0.91
N(E_F), states/eV/f.u.: 7.395
E, eV/atom: -4.31

[15]
Here is NpPdBr6 after structural relaxation from the Alexandria database. Energies are from GGA-PBE.

Cell and atoms, written as extended XYZ:
```
8
Lattice="-2.520 -5.716 -4.515 1.825 5.346 -4.361 5.369 -2.701 3.849" Properties=species:S:1:pos:R:3 pbc="T T T"
Br 4.269 0.122 -1.723
Br 0.496 0.577 -2.392
Br 1.600 -1.928 0.164
Br 3.074 -1.143 -5.191
Br 0.404 -3.193 -3.305
Br 4.177 -3.648 -2.635
Pd 0.000 0.000 0.000
Np 2.337 -1.535 -2.514
```

Formation energy without anion corrections, eV per atom: -0.863
V, A^3/atom: 38.0
Symmetry: C2/m, No. 12
Relative energy among the computed polymorphs, kJ per mole of atoms: 0.0
Spin magnetization, μB/f.u.: 3.02
N(E_F), states/eV/f.u.: 8.098
E, eV/atom: -4.38

[16]
Here is Np2PdS4Br after structural relaxation from the Alexandria database. Energies are from GGA-PBE.

Cell and atoms, written as extended XYZ:
```
8
Lattice="3.924 0.000 0.000 1.962 5.696 0.178 1.962 1.231 8.364" Properties=species:S:1:pos:R:3 pbc="T T T"
S 3.924 2.895 7.744
S 3.924 4.033 0.798
S 3.924 0.728 2.307
S 3.924 6.200 6.234
Br 3.924 3.464 4.271
Pd 0.000 0.000 0.000
Np 5.885 4.418 6.644
Np 1.962 2.510 1.898
```

Formation energy without anion corrections, eV per atom: -0.966
V, A^3/atom: 23.3
Symmetry: C2/m, No. 12
Spin magnetization, μB/f.u.: 6.79
N(E_F), states/eV/f.u.: 22.182
E, eV/atom: -7.12

[17]
Here is PmNpBr6 after structural relaxation from the Alexandria database. Energies are from GGA-PBE.

Cell and atoms, written as extended XYZ:
```
8
Lattice="7.148 0.169 0.000 1.913 6.975 0.000 0.957 3.488 6.539" Properties=species:S:1:pos:R:3 pbc="T T T"
Br 2.276 1.772 0.000
Br 6.799 5.352 4.592
Br 4.176 8.768 4.592
Br 3.219 5.280 1.947
Br 5.843 1.865 1.947
Br 6.786 5.372 0.000
Pm 0.000 0.000 0.000
Np 4.531 3.572 0.000
```

Formation energy without anion corrections, eV per atom: -1.568
V, A^3/atom: 40.5
Symmetry: C2/m, No. 12
Spin magnetization, μB/f.u.: 4.00
N(E_F), states/eV/f.u.: 4.137
E, eV/atom: -5.03

[18]
Here is PmNpBr2 after structural relaxation from the Alexandria database. Energies are from GGA-PBE.

Cell and atoms, written as extended XYZ:
```
4
Lattice="3.586 0.000 0.000 1.793 3.105 0.000 1.793 1.035 10.372" Properties=species:S:1:pos:R:3 pbc="T T T"
Pm 3.586 2.070 5.186
Br 1.793 1.035 7.372
Br 5.379 3.105 3.000
Np 0.000 0.000 0.000
```

Formation energy without anion corrections, eV per atom: -0.686
V, A^3/atom: 28.9
Symmetry: R-3m, No. 166
Spin magnetization, μB/f.u.: 4.91
N(E_F), states/eV/f.u.: 7.515
E, eV/atom: -5.95

[19]
Here is PmNpTl2Br8 after structural relaxation from the Alexandria database. Energies are from GGA-PBE.

Cell and atoms, written as extended XYZ:
```
12
Lattice="7.707 -0.129 -0.037 -0.168 7.113 -0.024 -0.035 -0.009 8.894" Properties=species:S:1:pos:R:3 pbc="T T T"
Tl 3.770 3.496 2.186
Tl 3.735 3.479 6.647
Br 6.647 1.494 6.640
Br 0.858 5.481 2.193
Br 0.816 5.461 6.657
Br 2.385 1.498 4.396
Br 5.139 5.475 -0.038
Br 2.365 1.501 8.871
Br 6.689 1.514 2.175
Br 5.120 5.477 4.437
Np -0.017 -0.005 4.447
Pm 0.000 0.000 0.000
```

Formation energy without anion corrections, eV per atom: -1.335
V, A^3/atom: 40.6
Symmetry: P-1, No. 2
Spin magnetization, μB/f.u.: 4.00
N(E_F), states/eV/f.u.: 4.355
E, eV/atom: -4.32

[20]
Here is PrNpBr6 after structural relaxation from the Alexandria database. Energies are from GGA-PBE.

Cell and atoms, written as extended XYZ:
```
8
Lattice="0.311 3.353 -6.719 -5.067 -5.330 1.548 -3.075 5.391 3.661" Properties=species:S:1:pos:R:3 pbc="T T T"
Br -1.139 2.128 -1.613
Br -3.500 3.565 1.467
Br -4.332 -0.151 -2.977
Br -5.092 3.869 -2.356
Br -6.693 1.286 0.104
Br -2.739 -0.455 0.847
Pr -3.916 1.707 -0.755
Np 0.000 0.000 0.000
```

Formation energy without anion corrections, eV per atom: -1.566
V, A^3/atom: 41.4
Symmetry: C2/m, No. 12
Spin magnetization, μB/f.u.: 4.00
N(E_F), states/eV/f.u.: 4.518
E, eV/atom: -5.04